# CdIn3Pb PBE-GGA optimized geometry
# * ρ: 6.9 g/cm3
# * excess energy over the best structure of this formula in the dataset: 11.7 kJ/mol of atoms
# * E_form: 15 kJ/mol of atoms
# * space-group type: Amm2
data_CdIn3Pb
_chemical_formula_sum 'Cd1 In3 Pb1'
_cell_length_a 3.2847
_cell_length_b 5.8882
_cell_length_c 8.7943
_cell_angle_alpha 109.56
_cell_angle_beta 90.00
_cell_angle_gamma 90.00
_space_group_name_H-M_alt 'P 1'
_space_group_IT_number 1
_space_group_name_Hall 'P 1'
loop_
_atom_site_label
_atom_site_fract_x
_atom_site_fract_y
_atom_site_fract_z
Cd1 0.0000 0.4588 0.9175
In1 0.5000 0.3604 0.2292
In2 0.5000 0.8688 0.2292
In3 0.0000 0.7565 0.5130
Pb1 0.5000 0.9275 0.8550